Computed, not measured: a geometry-optimized ThGaCuPd structure at the PBE-GGA level of DFT.

Cell: 4.7909 4.7909 4.7909 Å, 60.00 60.00 60.00°
Sites, in units of the cell vectors:
Th (0.2500, 0.2500, 0.2500)
Ga (0.7500, 0.7500, 0.7500)
Pd (0.0000, 0.0000, 0.0000)
Cu (0.5000, 0.5000, 0.5000)

Calculated values
Symmetry: F-43m

---

Computed, not measured: a geometry-optimized ThGa5CuPd2 structure at the PBE-GGA level of DFT.

Cell: 4.2192 4.2192 10.3422 Å, 90.00 90.00 90.00°
Sites, in units of the cell vectors:
Ga (0.5000, 0.0000, 0.1393)
Ga (0.0000, 0.5000, 0.8607)
Ga (0.5000, 0.5000, 0.5000)
Pd (0.5000, 0.5000, 0.2709)
Pd (0.5000, 0.5000, 0.7291)
Cu (0.0000, 0.0000, 0.0000)
Th (0.0000, 0.0000, 0.5000)
Ga (0.5000, 0.0000, 0.8607)
Ga (0.0000, 0.5000, 0.1393)

Calculated values
Symmetry: P4/mmm

---

Computed, not measured: a geometry-optimized ThGa3CuPd structure at the PBE-GGA level of DFT.

Cell: 6.0759 6.2028 6.8313 Å, 117.00 90.00 90.00°
Sites, in units of the cell vectors:
Pd (0.2500, 0.3509, 0.7018)
Cu (0.7500, 0.0609, 0.1218)
Ga (0.5000, 0.2899, 0.0000)
Cu (0.2500, 0.9391, 0.8782)
Ga (0.0000, 0.7101, 0.0000)
Pd (0.7500, 0.6491, 0.2982)
Ga (0.5000, 0.7101, 0.0000)
Ga (0.2500, 0.1449, 0.2898)
Ga (0.0000, 0.2899, 0.0000)
Th (0.7500, 0.2864, 0.5728)
Th (0.2500, 0.7136, 0.4272)
Ga (0.7500, 0.8551, 0.7102)

Calculated values
Symmetry: Cmcm

---

Computed, not measured: a geometry-optimized Ti2Ga2Cu7Pd structure at the PBE-GGA level of DFT.

Cell: 3.5761 3.5761 13.4678 Å, 82.23 82.23 89.99°
Each line ends with the local moment (μB).
Sites, in units of the cell vectors:
Ga (0.1428, 0.1428, 0.7223)  0.03
Cu (0.9220, 0.4224, 0.1489)  0.01
Cu (0.4224, 0.9220, 0.1489)  0.01
Ti (0.6766, 0.6766, 0.6551)  0.26
Cu (0.0780, 0.5776, 0.8511)  0.01
Ga (0.8572, 0.8572, 0.2777)  0.03
Cu (0.5000, 0.5000, 0.0000)  0.01
Cu (0.5776, 0.0780, 0.8511)  0.01
Pd (0.0000, 0.0000, 0.0000)  0.01
Cu (0.7703, 0.7703, 0.4615)  0.01
Ti (0.3234, 0.3234, 0.3449)  0.26
Cu (0.2297, 0.2297, 0.5385)  0.01

Calculated values
Symmetry: C2/m

---

Computed, not measured: a geometry-optimized Tm2Ga2CuPd5 structure at the PBE-GGA level of DFT.

Cell: 3.6160 9.8091 9.8091 Å, 90.00 90.00 90.00°
Sites, in units of the cell vectors:
Tm (0.0000, 0.8254, 0.6746)
Pd (0.5000, 0.8010, 0.9389)
Ga (0.0000, 0.3747, 0.1253)
Tm (0.0000, 0.1746, 0.3254)
Pd (0.5000, 0.4389, 0.3010)
Pd (0.5000, 0.0611, 0.8010)
Tm (0.0000, 0.3254, 0.8254)
Ga (0.0000, 0.1253, 0.6253)
Pd (0.5000, 0.3010, 0.5611)
Pd (0.5000, 0.9389, 0.1990)
Ga (0.0000, 0.8747, 0.3747)
Pd (0.5000, 0.6990, 0.4389)
Pd (0.5000, 0.5000, 0.0000)
Tm (0.0000, 0.6746, 0.1746)
Cu (0.0000, 0.0000, 0.0000)
Pd (0.5000, 0.1990, 0.0611)
Ga (0.0000, 0.6253, 0.8747)
Pd (0.5000, 0.5611, 0.6990)
Cu (0.0000, 0.5000, 0.5000)
Pd (0.5000, 0.0000, 0.5000)

Calculated values
Symmetry: P4/mbm

---

Computed, not measured: a geometry-optimized TmGa4Cu2Pd structure at the PBE-GGA level of DFT.

Cell: 4.1804 4.1804 9.1174 Å, 76.75 76.75 60.00°
Sites, in units of the cell vectors:
Ga (0.8746, 0.8746, 0.3763)
Ga (0.6021, 0.6021, 0.1938)
Cu (0.2450, 0.2450, 0.2651)
Tm (0.0000, 0.0000, 0.0000)
Ga (0.3979, 0.3979, 0.8062)
Cu (0.7550, 0.7550, 0.7349)
Ga (0.1254, 0.1254, 0.6237)
Pd (0.5000, 0.5000, 0.5000)

Calculated values
Symmetry: R-3m

---

Computed, not measured: a geometry-optimized Tm2Ga4Cu3Pd structure at the PBE-GGA level of DFT.

Cell: 4.0350 4.0350 10.5903 Å, 90.00 90.00 90.00°
Sites, in units of the cell vectors:
Cu (0.0000, 0.0000, 0.5000)
Ga (0.0000, 0.5000, 0.3603)
Ga (0.5000, 0.0000, 0.6397)
Cu (0.0000, 0.5000, 0.1372)
Ga (0.5000, 0.5000, 0.0000)
Pd (0.5000, 0.5000, 0.5000)
Tm (0.5000, 0.0000, 0.2443)
Ga (0.0000, 0.0000, 0.0000)
Tm (0.0000, 0.5000, 0.7557)
Cu (0.5000, 0.0000, 0.8628)

Calculated values
Symmetry: P-4m2

---

Computed, not measured: a geometry-optimized TmGa3CuPd structure at the PBE-GGA level of DFT.

Cell: 5.8597 5.9080 6.8684 Å, 115.47 90.00 90.00°
Sites, in units of the cell vectors:
Tm (0.7500, 0.2920, 0.5840)
Ga (0.5000, 0.7116, 0.0000)
Tm (0.2500, 0.7080, 0.4160)
Ga (0.2500, 0.1412, 0.2823)
Pd (0.2500, 0.3459, 0.6919)
Cu (0.7500, 0.0766, 0.1533)
Ga (0.5000, 0.2884, 0.0000)
Ga (0.0000, 0.2884, 0.0000)
Ga (0.7500, 0.8588, 0.7177)
Pd (0.7500, 0.6541, 0.3081)
Cu (0.2500, 0.9234, 0.8467)
Ga (0.0000, 0.7116, 0.0000)

Calculated values
Symmetry: Cmcm

---

Computed, not measured: a geometry-optimized TmGaCuPd structure at the PBE-GGA level of DFT.

Cell: 4.5993 4.5993 4.5993 Å, 60.00 60.00 60.00°
Sites, in units of the cell vectors:
Pd (0.7500, 0.7500, 0.7500)
Ga (0.5000, 0.5000, 0.5000)
Tm (0.0000, 0.0000, 0.0000)
Cu (0.2500, 0.2500, 0.2500)

Calculated values
Symmetry: F-43m

---

Computed, not measured: a geometry-optimized Tm4GaCu2Pd structure at the PBE-GGA level of DFT.

Cell: 4.8906 4.8906 8.4898 Å, 73.26 73.26 60.00°
Sites, in units of the cell vectors:
Tm (0.1267, 0.1267, 0.6200)
Cu (0.2539, 0.2539, 0.2382)
Ga (0.0000, 0.0000, 0.0000)
Tm (0.3772, 0.3772, 0.8684)
Tm (0.6228, 0.6228, 0.1316)
Tm (0.8733, 0.8733, 0.3800)
Pd (0.5000, 0.5000, 0.5000)
Cu (0.7461, 0.7461, 0.7618)

Calculated values
Symmetry: R-3m

---

Computed, not measured: a geometry-optimized VGaCuPd structure at the PBE-GGA level of DFT.

Cell: 4.2983 4.2983 4.2983 Å, 60.00 60.00 60.00°
Each line ends with the local moment (μB).
Sites, in units of the cell vectors:
Pd (0.7500, 0.7500, 0.7500)  -0.01
V (0.5000, 0.5000, 0.5000)  0.73
Ga (0.0000, 0.0000, 0.0000)  -0.03
Cu (0.2500, 0.2500, 0.2500)  -0.01

Calculated values
Symmetry: F-43m

---

Computed, not measured: a geometry-optimized Y2Ga3Cu4Pd structure at the PBE-GGA level of DFT.

Cell: 3.9739 3.9739 10.9451 Å, 90.00 90.00 90.00°
Sites, in units of the cell vectors:
Cu (0.0000, 0.5000, 0.3524)
Cu (0.5000, 0.5000, 0.0000)
Ga (0.0000, 0.5000, 0.1330)
Cu (0.0000, 0.0000, 0.0000)
Pd (0.5000, 0.5000, 0.5000)
Y (0.5000, 0.0000, 0.2521)
Cu (0.5000, 0.0000, 0.6476)
Y (0.0000, 0.5000, 0.7479)
Ga (0.5000, 0.0000, 0.8670)
Ga (0.0000, 0.0000, 0.5000)

Calculated values
Symmetry: P-4m2

---

Values for formation energy from the elements, eV per atom, ordered as above
-0.48; -0.24; -0.29; -0.06; -0.66; -0.38; -0.50; -0.35; -0.57; -0.53; -0.14; -0.43